Record 1
The following is a DFT calculation (GGA-PBE) of a relaxed NaGaSnIr2 crystal.

```
data_NaGaSnIr2
_space_group_name_H-M_alt 'P 1'
_space_group_IT_number 1
_cell_length_a 4.941
_cell_length_b 5.335
_cell_length_c 4.941
_cell_angle_alpha 90.00
_cell_angle_beta 90.00
_cell_angle_gamma 90.00
loop_
_space_group_symop_operation_xyz
'x,y,z'
loop_
_atom_site_label
_atom_site_type_symbol
_atom_site_fract_x
_atom_site_fract_y
_atom_site_fract_z
_atom_site_occupancy
Na1 Na 0.000 0.500 0.000 1
Sn1 Sn 0.000 0.000 0.000 1
Ir1 Ir 0.000 0.000 0.500 1
Ga1 Ga 0.500 0.500 0.500 1
Ir2 Ir 0.500 0.000 0.000 1
```

Properties
**SG**: P4/mmm, No. 123
**Calculated formation energy**: 1.114 eV per atom

Record 2
The following is a DFT calculation (GGA-PBE) of a relaxed Y2TmFe crystal.

```
data_Y2TmFe
_space_group_name_H-M_alt 'P 1'
_space_group_IT_number 1
_cell_length_a 3.366
_cell_length_b 3.366
_cell_length_c 11.201
_cell_angle_alpha 81.36
_cell_angle_beta 81.36
_cell_angle_gamma 60.00
loop_
_space_group_symop_operation_xyz
'x,y,z'
loop_
_atom_site_label
_atom_site_type_symbol
_atom_site_fract_x
_atom_site_fract_y
_atom_site_fract_z
_atom_site_occupancy
Y1 Y 0.080 0.080 0.761 1
Tm1 Tm 0.500 0.500 0.500 1
Y2 Y 0.920 0.920 0.239 1
Fe1 Fe 0.000 0.000 0.000 1
```

Properties
**SG**: R-3m, No. 166
**E above lowest polymorph**: 604 meV per atom
**Calculated formation energy**: 0.595 eV per atom

Record 3
The following is a DFT calculation (GGA-PBE) of a relaxed Ca3FeB crystal.

```
data_Ca3FeB
_space_group_name_H-M_alt 'P 1'
_space_group_IT_number 1
_cell_length_a 5.141
_cell_length_b 5.141
_cell_length_c 5.141
_cell_angle_alpha 90.00
_cell_angle_beta 90.00
_cell_angle_gamma 90.00
loop_
_space_group_symop_operation_xyz
'x,y,z'
loop_
_atom_site_label
_atom_site_type_symbol
_atom_site_fract_x
_atom_site_fract_y
_atom_site_fract_z
_atom_site_occupancy
B1 B 0.000 0.000 0.000 1
Fe1 Fe 0.500 0.500 0.500 1
Ca1 Ca 0.500 0.000 0.000 1
Ca2 Ca 0.000 0.500 0.000 1
Ca3 Ca 0.000 0.000 0.500 1
```

Properties
**SG**: Pm-3m, No. 221
**E above lowest polymorph**: 0 meV per atom
**Calculated formation energy**: 0.909 eV per atom

Record 4
The following is a DFT calculation (GGA-PBE) of a relaxed CsZr4I8 crystal.

```
data_CsZr4I8
_space_group_name_H-M_alt 'P 1'
_space_group_IT_number 1
_cell_length_a 3.863
_cell_length_b 10.543
_cell_length_c 13.177
_cell_angle_alpha 73.16
_cell_angle_beta 81.57
_cell_angle_gamma 79.44
loop_
_space_group_symop_operation_xyz
'x,y,z'
loop_
_atom_site_label
_atom_site_type_symbol
_atom_site_fract_x
_atom_site_fract_y
_atom_site_fract_z
_atom_site_occupancy
I1 I 0.201 0.721 0.878 1
Zr1 Zr 0.714 0.123 0.448 1
I2 I 0.849 0.684 0.619 1
I3 I 0.157 0.062 0.624 1
I4 I 0.183 0.320 0.315 1
Zr2 Zr 0.317 0.881 0.485 1
I5 I 0.439 0.348 0.773 1
I6 I 0.831 0.282 0.056 1
Zr3 Zr 0.220 0.494 0.067 1
I7 I 0.874 0.942 0.310 1
I8 I 0.592 0.655 0.161 1
Cs1 Cs 0.516 0.002 0.967 1
Zr4 Zr 0.812 0.510 0.866 1
```

Properties
**SG**: C2/m, No. 12
**Formation energy without anion corrections**: -0.79 eV per atom

Record 5
The following is a DFT calculation (GGA-PBE) of a relaxed GaSi2AgBi crystal.

```
data_GaSi2AgBi
_space_group_name_H-M_alt 'P 1'
_space_group_IT_number 1
_cell_length_a 5.470
_cell_length_b 5.472
_cell_length_c 5.470
_cell_angle_alpha 90.00
_cell_angle_beta 90.00
_cell_angle_gamma 90.00
loop_
_space_group_symop_operation_xyz
'x,y,z'
loop_
_atom_site_label
_atom_site_type_symbol
_atom_site_fract_x
_atom_site_fract_y
_atom_site_fract_z
_atom_site_occupancy
Ga1 Ga 0.000 0.500 0.000 1
Ag1 Ag 0.500 0.500 0.500 1
Si1 Si 0.500 0.000 0.000 1
Bi1 Bi 0.000 0.000 0.000 1
Si2 Si 0.000 0.000 0.500 1
```

Properties
**SG**: P4/mmm, No. 123
**Formation energy without anion corrections**: 1.32 eV per atom

Record 6
The following is a DFT calculation (GGA-PBE) of a relaxed ErMg4Cd2 crystal.

```
data_ErMg4Cd2
_space_group_name_H-M_alt 'P 1'
_space_group_IT_number 1
_cell_length_a 6.056
_cell_length_b 6.057
_cell_length_c 7.633
_cell_angle_alpha 126.99
_cell_angle_beta 126.99
_cell_angle_gamma 58.89
loop_
_space_group_symop_operation_xyz
'x,y,z'
loop_
_atom_site_label
_atom_site_type_symbol
_atom_site_fract_x
_atom_site_fract_y
_atom_site_fract_z
_atom_site_occupancy
Er1 Er 0.000 0.000 0.000 1
Mg1 Mg 0.500 0.000 0.000 1
Cd1 Cd 0.347 0.347 0.694 1
Mg2 Mg 0.250 0.750 0.500 1
Mg3 Mg 0.750 0.250 0.500 1
Mg4 Mg 0.000 0.500 0.000 1
Cd2 Cd 0.653 0.653 0.306 1
```

Properties
**SG**: Fmmm, No. 69
**E above lowest polymorph**: 228 meV per atom
**Calculated formation energy**: 0.138 eV per atom

Record 7
The following is a DFT calculation (GGA-PBE) of a relaxed PrNd14In crystal.

```
data_PrNd14In
_space_group_name_H-M_alt 'P 1'
_space_group_IT_number 1
_cell_length_a 7.281
_cell_length_b 7.281
_cell_length_c 10.309
_cell_angle_alpha 90.00
_cell_angle_beta 90.00
_cell_angle_gamma 90.00
loop_
_space_group_symop_operation_xyz
'x,y,z'
loop_
_atom_site_label
_atom_site_type_symbol
_atom_site_fract_x
_atom_site_fract_y
_atom_site_fract_z
_atom_site_occupancy
Nd1 Nd 0.375 0.625 0.500 1
Nd2 Nd 0.129 0.379 0.245 1
Nd3 Nd 0.375 0.125 0.000 1
Nd4 Nd 0.621 0.871 0.755 1
Nd5 Nd 0.875 0.625 0.500 1
Nd6 Nd 0.621 0.871 0.245 1
Nd7 Nd 0.875 0.625 0.000 1
Nd8 Nd 0.128 0.872 0.755 1
Nd9 Nd 0.622 0.378 0.755 1
Nd10 Nd 0.128 0.872 0.245 1
In1 In 0.375 0.625 0.000 1
Nd11 Nd 0.129 0.379 0.755 1
Nd12 Nd 0.875 0.125 0.500 1
Nd13 Nd 0.375 0.125 0.500 1
Pr1 Pr 0.875 0.125 0.000 1
Nd14 Nd 0.622 0.378 0.245 1
```

Properties
**SG**: Amm2, No. 38
**Calculated formation energy**: -0.038 eV per atom

Record 8
The following is a DFT calculation (GGA-PBE) of a relaxed LaDy2In2Ag2 crystal.

```
data_LaDy2In2Ag2
_space_group_name_H-M_alt 'P 1'
_space_group_IT_number 1
_cell_length_a 4.904
_cell_length_b 4.904
_cell_length_c 9.493
_cell_angle_alpha 75.03
_cell_angle_beta 75.03
_cell_angle_gamma 60.00
loop_
_space_group_symop_operation_xyz
'x,y,z'
loop_
_atom_site_label
_atom_site_type_symbol
_atom_site_fract_x
_atom_site_fract_y
_atom_site_fract_z
_atom_site_occupancy
In1 In 0.256 0.256 0.232 1
Ag1 Ag 0.589 0.589 0.234 1
Dy1 Dy 0.872 0.872 0.385 1
Ag2 Ag 0.411 0.411 0.766 1
Dy2 Dy 0.128 0.128 0.615 1
In2 In 0.744 0.744 0.768 1
La1 La 0.000 0.000 0.000 1
```

Properties
**SG**: R-3m, No. 166
**Calculated formation energy**: -0.315 eV per atom

Record 9
The following is a DFT calculation (GGA-PBE) of a relaxed TmPa2C crystal.

```
data_TmPa2C
_space_group_name_H-M_alt 'P 1'
_space_group_IT_number 1
_cell_length_a 3.400
_cell_length_b 3.400
_cell_length_c 9.210
_cell_angle_alpha 79.36
_cell_angle_beta 79.36
_cell_angle_gamma 60.00
loop_
_space_group_symop_operation_xyz
'x,y,z'
loop_
_atom_site_label
_atom_site_type_symbol
_atom_site_fract_x
_atom_site_fract_y
_atom_site_fract_z
_atom_site_occupancy
Pa1 Pa 0.279 0.279 0.163 1
Tm1 Tm 0.500 0.500 0.500 1
Pa2 Pa 0.721 0.721 0.837 1
C1 C 0.000 0.000 0.000 1
```

Properties
**SG**: R-3m, No. 166
**Calculated formation energy**: -0.098 eV per atom

Record 10
The following is a DFT calculation (GGA-PBE) of a relaxed NpPdSe2 crystal.

```
data_NpPdSe2
_space_group_name_H-M_alt 'P 1'
_space_group_IT_number 1
_cell_length_a 4.042
_cell_length_b 4.042
_cell_length_c 6.695
_cell_angle_alpha 72.43
_cell_angle_beta 72.43
_cell_angle_gamma 60.00
loop_
_space_group_symop_operation_xyz
'x,y,z'
loop_
_atom_site_label
_atom_site_type_symbol
_atom_site_fract_x
_atom_site_fract_y
_atom_site_fract_z
_atom_site_occupancy
Se1 Se 0.252 0.252 0.244 1
Se2 Se 0.072 0.072 0.785 1
Np1 Np 0.494 0.494 0.517 1
Pd1 Pd 0.682 0.682 0.954 1
```

Properties
**SG**: R3m, No. 160
**E above lowest polymorph**: 170 meV per atom
**Formation energy without anion corrections**: -0.64 eV per atom